Here is a relaxed structure of Rb2LaAlZn from the Alexandria database. Energies are from GGA-PBE.

Output
**Formation energy from the elements**: 0.590 eV per atom
**Magnetization**: 0.00 μB/atom

CIF file:
```
data_Rb2LaAlZn
_chemical_formula_sum 'Rb2 La1 Al1 Zn1'
_cell_length_a 7.063
_cell_length_b 7.063
_cell_length_c 5.871
_cell_angle_alpha 90.00
_cell_angle_beta 90.00
_cell_angle_gamma 90.00
_symmetry_space_group_name_H-M 'P 4/m m m'
_symmetry_Int_Tables_number 123
_symmetry_space_group_name_Hall '-P 4 2'
loop_
_atom_site_label
_atom_site_type_symbol
_atom_site_fract_x
_atom_site_fract_y
_atom_site_fract_z
Rb1 Rb 0.000 0.500 0.000
La1 La 0.000 0.000 0.500
Al1 Al 0.000 0.000 0.000
Zn1 Zn 0.500 0.500 0.500
```

---

Here is a relaxed structure of RbLa2ZrAl from the Alexandria database. Energies are from GGA-PBE.

Output
**Formation energy from the elements**: 0.571 eV per atom
**Magnetization**: 0.41 μB/atom

CIF file:
```
data_RbLa2ZrAl
_chemical_formula_sum 'Rb1 La2 Zr1 Al1'
_cell_length_a 6.006
_cell_length_b 6.006
_cell_length_c 5.425
_cell_angle_alpha 90.00
_cell_angle_beta 90.00
_cell_angle_gamma 90.00
_symmetry_space_group_name_H-M 'P 4/m m m'
_symmetry_Int_Tables_number 123
_symmetry_space_group_name_Hall '-P 4 2'
loop_
_atom_site_label
_atom_site_type_symbol
_atom_site_fract_x
_atom_site_fract_y
_atom_site_fract_z
Rb1 Rb 0.000 0.000 0.000
La1 La 0.000 0.500 0.500
Zr1 Zr 0.500 0.500 0.000
Al1 Al 0.500 0.500 0.500
```

---

Here is a relaxed structure of LaAlRe3 from the Alexandria database. Energies are from GGA-PBE.

Output
**Formation energy from the elements**: 2.970 eV per atom
**Energy above the most stable polymorph in this dataset**: 1.715 eV per atom
**Magnetization**: 0.00 μB/atom

CIF file:
```
data_LaAlRe3
_chemical_formula_sum 'La1 Al1 Re3'
_cell_length_a 4.825
_cell_length_b 4.825
_cell_length_c 4.825
_cell_angle_alpha 90.00
_cell_angle_beta 90.00
_cell_angle_gamma 90.00
_symmetry_space_group_name_H-M 'P m -3 m'
_symmetry_Int_Tables_number 221
_symmetry_space_group_name_Hall '-P 4 2 3'
loop_
_atom_site_label
_atom_site_type_symbol
_atom_site_fract_x
_atom_site_fract_y
_atom_site_fract_z
La1 La 0.000 0.000 0.000
Al1 Al 0.500 0.500 0.500
Re1 Re 0.000 0.000 0.500
```

---

Here is a relaxed structure of La2AlRe from the Alexandria database. Energies are from GGA-PBE.

Output
**Formation energy from the elements**: 0.168 eV per atom
**Magnetization**: 0.00 μB/atom

CIF file:
```
data_La2AlRe
_chemical_formula_sum 'La2 Al1 Re1'
_cell_length_a 3.679
_cell_length_b 3.675
_cell_length_c 7.471
_cell_angle_alpha 90.00
_cell_angle_beta 90.35
_cell_angle_gamma 90.00
_symmetry_space_group_name_H-M 'P 1 2/m 1'
_symmetry_Int_Tables_number 10
loop_
_symmetry_equiv_pos_as_xyz
'x,y,z'
'-x,-y,-z'
'-x,y,-z'
'x,-y,z'
loop_
_atom_site_label
_atom_site_type_symbol
_atom_site_fract_x
_atom_site_fract_y
_atom_site_fract_z
La1 La 0.003 0.000 0.272
Al1 Al 0.500 0.500 0.000
Re1 Re 0.500 0.500 0.500
```